In2MoP PBE optimized geometry; density = 7.60 g cm⁻³; space-group type = F-43m (216); crystal system = cubic; energy of formation from the pure elements = 0.673 eV/atom
1.0
6.778 0.000 0.000
0.000 6.778 0.000
0.000 0.000 6.778
In Mo P
8 4 4
Direct
0.000 0.000 0.000 In
0.000 0.500 0.500 In
0.250 0.250 0.250 In
0.250 0.750 0.750 In
0.500 0.000 0.500 In
0.500 0.500 0.000 In
0.750 0.250 0.750 In
0.750 0.750 0.250 In
0.000 0.000 0.500 Mo
0.000 0.500 0.000 Mo
0.500 0.000 0.000 Mo
0.500 0.500 0.500 Mo
0.250 0.250 0.750 P
0.250 0.750 0.250 P
0.750 0.250 0.250 P
0.750 0.750 0.750 P